Density functional theory data (meta-GGA SCAN) for a PBEsol-optimized structure of SiOsCl2.

Properties
Energy relative to the lowest polymorph listed for this composition (meV per atom): 1097
Formation energy from raw total energies (eV/f.u.): 3.5
Symmetry: C2/m, No. 12

Unit cell a=3.141 b=4.496 c=5.143 alpha=115.59 beta=107.34 gamma=90.97
Fractional positions:
1 Os 0.500 0.000 0.000
2 Cl 0.500 0.500 0.500
3 Cl 0.000 0.000 0.500
4 Si 0.000 0.500 0.000